Entry 1:
Material: Y3Sc4Ir4
Method: DFT, PBE-GGA
State: optimized geometry

Results
The value obtained for the formation enthalpy at 0 K is -8.4 eV/f.u. For the final energy, the calculation gives -0.296 hartree per atom.

Cell: 8.711 8.711 8.711 Å, 154.26 123.38 63.19°
Atoms (fractional coordinates):
Y  0.000  0.000  0.000
Y  0.392  0.892  0.500
Y  0.608  0.108  0.500
Sc  0.022  0.332  0.691
Sc  0.359  0.668  0.691
Sc  0.641  0.332  0.309
Sc  0.978  0.668  0.309
Ir  0.235  0.235  0.000
Ir  0.295  0.500  0.795
Ir  0.705  0.500  0.205
Ir  0.765  0.765  0.000

---

Entry 2:
Material: Dy3YTm3
Method: DFT, PBE-GGA
State: optimized geometry

Results
The value obtained for the formation enthalpy at 0 K is 0.0 eV/f.u. For the final energy, the calculation gives -0.177 hartree per atom. The excess energy over the best structure of this formula in the dataset comes out at 0 meV per atom.

Cell: 9.516 9.516 5.599 Å, 90.00 90.00 120.00°
Atoms (fractional coordinates):
Dy  0.046  0.807  0.250
Dy  0.193  0.239  0.250
Dy  0.239  0.046  0.750
Dy  0.761  0.954  0.250
Dy  0.807  0.761  0.750
Dy  0.954  0.193  0.750
Y  0.333  0.667  0.250
Y  0.667  0.333  0.750
Tm  0.094  0.619  0.750
Tm  0.381  0.476  0.750
Tm  0.476  0.094  0.250
Tm  0.524  0.906  0.750
Tm  0.619  0.524  0.250
Tm  0.906  0.381  0.250

---

Entry 3:
Material: Tl2Bi4S
Method: DFT, PBE-GGA
State: optimized geometry

Results
For the formation energy (no corrections), the calculation gives 274 meV/atom. For the final energy, the calculation gives -0.118 hartree per atom.

Cell: 10.182 10.182 10.182 Å, 149.71 149.71 43.36°
Atoms (fractional coordinates):
Tl  0.103  0.103  0.000
Tl  0.897  0.897  0.000
Bi  0.000  0.500  0.500
Bi  0.261  0.261  0.000
Bi  0.500  0.000  0.500
Bi  0.739  0.739  0.000
S  0.500  0.500  0.000

---

Entry 4:
Material: BeNiAu3
Method: DFT, PBE-GGA
State: optimized geometry

Results
The value obtained for the formation enthalpy at 0 K is 2.0 eV/f.u. For the final energy, the calculation gives -0.128 hartree per atom. The excess energy over the best structure of this formula in the dataset comes out at 0 meV per atom.

Cell: 4.360 4.360 4.360 Å, 90.00 90.00 90.00°
Atoms (fractional coordinates):
Be  0.000  0.000  0.000
Ni  0.500  0.500  0.500
Au  0.000  0.000  0.500
Au  0.000  0.500  0.000
Au  0.500  0.000  0.000

---

Entry 5:
Material: Zn2Ni3
Method: DFT, PBE-GGA
State: optimized geometry

Results
The value obtained for the formation enthalpy at 0 K is -0.6 eV/f.u. For the final energy, the calculation gives -0.150 hartree per atom. The excess energy over the best structure of this formula in the dataset comes out at 16 meV per atom.

Cell: 6.546 4.861 7.495 Å, 59.53 39.79 80.68°
Atoms (fractional coordinates):
Zn  0.023  0.477  0.078
Zn  0.172  0.828  0.227
Zn  0.477  0.023  0.422
Zn  0.828  0.172  0.773
Ni  0.058  0.058  0.942
Ni  0.308  0.308  0.192
Ni  0.465  0.585  0.336
Ni  0.585  0.465  0.613
Ni  0.637  0.914  0.665
Ni  0.914  0.637  0.785

---

Entry 6:
Material: ZnSnTeF2
Method: DFT, PBE-GGA
State: optimized geometry

Results
For the formation energy (no corrections), the calculation gives -708 meV/atom. For the final energy, the calculation gives -0.115 hartree per atom.

Cell: 4.382 4.382 6.386 Å, 90.00 90.00 90.00°
Atoms (fractional coordinates):
Zn  0.000  0.000  0.000
Sn  0.500  0.500  0.000
Te  0.500  0.500  0.500
F  0.000  0.500  0.500
F  0.500  0.000  0.500

---

- Look up the final energy of the sixth one.
  -0.115 hartree per atom

---

- Which of these has the lowest final energy?
  Y3Sc4Ir4